First-principles (PBE) data for HfAgIN2 after structural relaxation, as listed in Alexandria via LeMat-Bulk.

It has space group P4/mmm (No. 123), with a = 4.2087 Å, b = 4.2087 Å, c = 5.1801 Å, α = 90.00°, β = 90.00° and γ = 90.00°. The asymmetric unit holds Hf at (0.0000, 0.0000, 0.0000), Ag at (0.5000, 0.5000, 0.5000), I at (0.5000, 0.5000, 0.0000) and N at (0.0000, 0.5000, 0.5000).

The theoretical density is 8.0 g cm⁻³. The energy above the most stable polymorph in this dataset is 1.567 eV/atom.